(1)
YTa3W after structural relaxation, computed with GGA-PBE.

Summary:
The excess energy over the best structure of this formula in the dataset is 1.674 eV/atom. The formation energy is 2.738 eV/atom.

Cell and atoms, written as POSCAR:
```
YTa3W
1.0
4.797 0.000 0.000
0.000 4.797 0.000
0.000 0.000 4.797
Y Ta W
1 3 1
direct
0.000 0.000 0.000
0.000 0.000 0.500
0.000 0.500 0.000
0.500 0.000 0.000
0.500 0.500 0.500
```

(2)
YTa2W after structural relaxation, computed with GGA-PBE.

Summary:
The excess energy over the best structure of this formula in the dataset is 0.125 eV/atom. The formation energy is 0.374 eV/atom.

Cell and atoms, written as POSCAR:
```
YTa2W
1.0
2.916 0.000 0.000
0.000 4.671 0.000
-1.211 0.000 5.874
Y Ta W
1 2 1
direct
0.000 0.000 0.000
0.442 0.000 0.514
0.722 0.500 0.292
0.239 0.500 0.722
```

(3)
YTa2W after structural relaxation, computed with GGA-PBE.

Summary:
The excess energy over the best structure of this formula in the dataset is 0.274 eV/atom. The formation energy is 0.523 eV/atom.

Cell and atoms, written as POSCAR:
```
YTa2W
1.0
3.287 0.000 0.000
0.000 4.859 0.000
0.000 0.000 4.890
Y Ta W
1 2 1
direct
0.000 0.000 0.000
0.000 0.500 0.500
0.500 0.500 0.000
0.500 0.000 0.500
```

(4)
YTa2W after structural relaxation, computed with GGA-PBE.

Summary:
The excess energy over the best structure of this formula in the dataset is 0.060 eV/atom. The formation energy is 0.309 eV/atom.

Cell and atoms, written as POSCAR:
```
YTa2W
1.0
3.328 0.000 0.000
0.000 3.328 0.000
0.000 0.000 7.410
Y Ta W
1 2 1
direct
0.000 0.000 0.000
0.000 0.000 0.526
0.500 0.500 0.310
0.500 0.500 0.716
```

(5)
YTaW after structural relaxation, computed with GGA-PBE.

Summary:
The excess energy over the best structure of this formula in the dataset is 1.704 eV/atom. The formation energy is 1.981 eV/atom.

Cell and atoms, written as POSCAR:
```
YTaW
1.0
6.530 0.000 0.000
0.000 6.530 0.000
0.000 0.000 6.530
Y Ta W
4 4 4
direct
0.000 0.000 0.000
0.000 0.500 0.500
0.500 0.000 0.500
0.500 0.500 0.000
0.250 0.250 0.250
0.250 0.750 0.750
0.750 0.250 0.750
0.750 0.750 0.250
0.250 0.250 0.750
0.250 0.750 0.250
0.750 0.250 0.250
0.750 0.750 0.750
```

(6)
YTa2W after structural relaxation, computed with GGA-PBE.

Summary:
The excess energy over the best structure of this formula in the dataset is 0.608 eV/atom. The formation energy is 0.857 eV/atom.

Cell and atoms, written as POSCAR:
```
YTa2W
1.0
7.718 0.000 0.000
0.000 7.718 0.000
0.000 0.000 5.891
Y Ta W
4 8 4
direct
0.000 0.000 0.000
0.000 0.500 0.250
0.500 0.000 0.750
0.500 0.500 0.500
0.205 0.750 0.625
0.250 0.205 0.375
0.250 0.295 0.875
0.295 0.750 0.125
0.705 0.250 0.125
0.750 0.705 0.875
0.750 0.795 0.375
0.795 0.250 0.625
0.000 0.000 0.500
0.000 0.500 0.750
0.500 0.000 0.250
0.500 0.500 0.000
```

(7)
YTa3W after structural relaxation, computed with GGA-PBE.

Summary:
The excess energy over the best structure of this formula in the dataset is 0.000 eV/atom. The formation energy is 1.063 eV/atom.

Cell and atoms, written as POSCAR:
```
YTa3W
1.0
4.936 0.000 0.000
0.000 4.936 0.000
0.000 0.000 4.936
Y Ta W
1 3 1
direct
0.000 0.000 0.000
0.000 0.500 0.500
0.500 0.000 0.500
0.500 0.500 0.000
0.500 0.500 0.500
```

(8)
YTaW after structural relaxation, computed with GGA-PBE.

Summary:
The excess energy over the best structure of this formula in the dataset is 0.170 eV/atom. The formation energy is 0.446 eV/atom.

Cell and atoms, written as POSCAR:
```
YTaW
1.0
4.797 0.000 0.000
-2.398 4.154 0.000
0.000 0.000 3.045
Y Ta W
1 1 1
direct
0.000 0.000 0.000
0.333 0.667 0.403
0.667 0.333 0.626
```

(9)
YTa2W after structural relaxation, computed with GGA-PBE.

Summary:
The excess energy over the best structure of this formula in the dataset is 0.040 eV/atom. The formation energy is 0.290 eV/atom.

Cell and atoms, written as POSCAR:
```
YTa2W
1.0
3.289 0.000 0.000
0.000 4.926 0.000
0.000 0.000 9.868
Y Ta W
2 4 2
direct
0.000 0.000 0.000
0.500 0.500 0.000
0.000 0.500 0.284
0.000 0.500 0.716
0.500 0.000 0.284
0.500 0.000 0.716
0.000 0.000 0.500
0.500 0.500 0.500
```

(10)
YTaW after structural relaxation, computed with GGA-PBE.

Summary:
The excess energy over the best structure of this formula in the dataset is 0.545 eV/atom. The formation energy is 0.822 eV/atom.

Cell and atoms, written as POSCAR:
```
YTaW
1.0
6.534 0.000 0.000
0.000 6.534 0.000
0.000 0.000 6.534
Y Ta W
4 4 4
direct
0.000 0.000 0.000
0.000 0.500 0.500
0.500 0.000 0.500
0.500 0.500 0.000
0.000 0.000 0.500
0.000 0.500 0.000
0.500 0.000 0.000
0.500 0.500 0.500
0.250 0.250 0.750
0.250 0.750 0.250
0.750 0.250 0.250
0.750 0.750 0.750
```

(11)
YTa2W after structural relaxation, computed with GGA-PBE.

Summary:
The excess energy over the best structure of this formula in the dataset is 0.216 eV/atom. The formation energy is 0.466 eV/atom.

Cell and atoms, written as POSCAR:
```
YTa2W
1.0
4.787 0.000 0.000
0.000 4.787 0.000
0.000 0.000 6.825
Y Ta W
2 4 2
direct
0.000 0.000 0.000
0.500 0.500 0.500
0.000 0.000 0.500
0.000 0.500 0.750
0.500 0.000 0.250
0.500 0.500 0.000
0.000 0.500 0.250
0.500 0.000 0.750
```

(12)
YTaW after structural relaxation, computed with GGA-PBE.

Summary:
The excess energy over the best structure of this formula in the dataset is 0.327 eV/atom. The formation energy is 0.603 eV/atom.

Cell and atoms, written as POSCAR:
```
YTaW
1.0
2.832 0.000 0.000
0.000 2.832 0.000
0.000 0.000 15.134
Y Ta W
2 2 2
direct
0.000 0.000 0.000
0.500 0.500 0.500
0.000 0.000 0.318
0.500 0.500 0.818
0.000 0.000 0.667
0.500 0.500 0.167
```